Record 1
Entry from Alexandria via LeMat-Bulk: an optimized crystal structure of BaZrTl2 (PBE).

Geometry as CIF:
```
data_BaZrTl2
_chemical_formula_sum 'Ba4 Zr4 Tl8'
_space_group_name_H-M_alt 'I -4 2 d'
_space_group_IT_number 122
_space_group_name_Hall 'I -4 2bw'
_cell_length_a 5.674
_cell_length_b 5.674
_cell_length_c 19.609
_cell_angle_alpha 90.00
_cell_angle_beta 90.00
_cell_angle_gamma 90.00
loop_
_atom_site_label
_atom_site_type_symbol
_atom_site_fract_x
_atom_site_fract_y
_atom_site_fract_z
Ba1 Ba 0.000 0.000 0.000
Zr1 Zr 0.000 0.000 0.500
Tl1 Tl 0.136 0.250 0.625
```

Record 2
Entry from Alexandria via LeMat-Bulk: an optimized crystal structure of BaZrTl2 (PBE).

Geometry as CIF:
```
data_BaZrTl2
_chemical_formula_sum 'Ba2 Zr2 Tl4'
_space_group_name_H-M_alt 'A m m 2'
_space_group_IT_number 38
_space_group_name_Hall 'A 2 -2'
_cell_length_a 4.828
_cell_length_b 3.760
_cell_length_c 14.355
_cell_angle_alpha 90.00
_cell_angle_beta 90.00
_cell_angle_gamma 90.00
loop_
_atom_site_label
_atom_site_type_symbol
_atom_site_fract_x
_atom_site_fract_y
_atom_site_fract_z
Ba1 Ba 0.000 0.000 0.000
Zr1 Zr 0.500 0.000 0.713
Tl1 Tl 0.000 0.000 0.236
Tl2 Tl 0.500 0.000 0.385
```

Record 3
Entry from Alexandria via LeMat-Bulk: an optimized crystal structure of BaZrTl2 (PBE).

Geometry as CIF:
```
data_BaZrTl2
_chemical_formula_sum 'Ba2 Zr2 Tl4'
_space_group_name_H-M_alt 'I -4 m 2'
_space_group_IT_number 119
_space_group_name_Hall 'I -4 -2'
_cell_length_a 4.695
_cell_length_b 4.695
_cell_length_c 11.065
_cell_angle_alpha 90.00
_cell_angle_beta 90.00
_cell_angle_gamma 90.00
loop_
_atom_site_label
_atom_site_type_symbol
_atom_site_fract_x
_atom_site_fract_y
_atom_site_fract_z
Ba1 Ba 0.000 0.000 0.000
Zr1 Zr 0.000 0.500 0.250
Tl1 Tl 0.000 0.000 0.500
Tl2 Tl 0.000 0.500 0.750
```

Number 1: total magnetic moment 0.00 μB per cell, formation enthalpy at 0 K 0.309 eV/atom. Number 2: total magnetic moment 0.00 μB per cell, formation enthalpy at 0 K 0.054 eV/atom. Number 3: total magnetic moment 0.01 μB per cell, formation enthalpy at 0 K 0.214 eV/atom.